Record 1
# Rb3Li2TiF9 (GGA-PBE, relaxed)
data_Rb3Li2TiF9
_space_group_name_H-M_alt 'P -3 m 1'
_space_group_IT_number 164
_space_group_name_Hall '-P 3 2"'
_cell_length_a 6.0125
_cell_length_b 6.0125
_cell_length_c 7.6729
_cell_angle_alpha 90.00
_cell_angle_beta 90.00
_cell_angle_gamma 120.00
loop_
_atom_site_label
_atom_site_type_symbol
_atom_site_fract_x
_atom_site_fract_y
_atom_site_fract_z
Rb1 Rb 0.0000 0.0000 0.0000
Rb2 Rb 0.3333 0.6667 0.6907
Li1 Li 0.3333 0.6667 0.0915
Ti1 Ti 0.0000 0.0000 0.5000
F1 F 0.0000 0.5000 0.0000
F2 F 0.1487 0.2975 0.3576
# DOS(E_F) (states/eV per cell): 0.0
# Electronic total energy (eV/atom): -5.179
# Crystal system: trigonal
# Magnetic moment (μB per formula unit): 0.00
# Calculated density (kg/m³): 3381


Record 2
# UMn2Os (GGA-PBE, relaxed)
data_UMn2Os
_space_group_name_H-M_alt 'R -3 m'
_space_group_IT_number 166
_space_group_name_Hall '-R 3 2"'
_cell_length_a 4.4454
_cell_length_b 4.4454
_cell_length_c 10.6424
_cell_angle_alpha 90.00
_cell_angle_beta 90.00
_cell_angle_gamma 120.00
loop_
_atom_site_label
_atom_site_type_symbol
_atom_site_fract_x
_atom_site_fract_y
_atom_site_fract_z
U1 U 0.0000 0.0000 0.0000
Mn1 Mn 0.0000 0.0000 0.2073
Os1 Os 0.0000 0.0000 0.5000
# DOS(E_F) (states/eV per cell): 15.2
# Electronic total energy (eV/atom): -10.112
# Energy above the most stable polymorph in this dataset (kJ per mole of atoms): 4.7
# DFT formation energy (eV/f.u.): 0.4
# Crystal system: trigonal
# Magnetic moment (μB per formula unit): 0.00
# Calculated density (kg/m³): 14719


Record 3
# Ho3ZnCo3 (GGA-PBE, relaxed)
data_Ho3ZnCo3
_space_group_name_H-M_alt 'C m c m'
_space_group_IT_number 63
_space_group_name_Hall '-C 2c 2'
_cell_length_a 4.097
_cell_length_b 9.821
_cell_length_c 12.863
_cell_angle_alpha 90.00
_cell_angle_beta 90.00
_cell_angle_gamma 90.00
loop_
_atom_site_label
_atom_site_type_symbol
_atom_site_fract_x
_atom_site_fract_y
_atom_site_fract_z
Ho1 Ho 0.000 0.009 0.250
Ho2 Ho 0.000 0.298 0.103
Zn1 Zn 0.000 0.000 0.000
Co1 Co 0.000 0.290 0.750
Co2 Co 0.000 0.411 0.597
# DOS(E_F) (states/eV per cell): 24.1
# Electronic total energy (eV/atom): -5.478
# DFT formation energy (eV/f.u.): -2.0
# Crystal system: orthorhombic
# Magnetic moment (μB per formula unit): 0.67
# Calculated density (kg/m³): 9460


Record 4
# K3CaSe (GGA-PBE, relaxed)
data_K3CaSe
_space_group_name_H-M_alt 'P m -3 m'
_space_group_IT_number 221
_space_group_name_Hall '-P 4 2 3'
_cell_length_a 7.003
_cell_length_b 7.003
_cell_length_c 7.003
_cell_angle_alpha 90.00
_cell_angle_beta 90.00
_cell_angle_gamma 90.00
loop_
_atom_site_label
_atom_site_type_symbol
_atom_site_fract_x
_atom_site_fract_y
_atom_site_fract_z
K1 K 0.000 0.000 0.500
Ca1 Ca 0.000 0.000 0.000
Se1 Se 0.500 0.500 0.500
# DOS(E_F) (states/eV per cell): 5.3
# Electronic total energy (eV/atom): -1.287
# Energy above the most stable polymorph in this dataset (kJ per mole of atoms): 81.3
# Crystal system: cubic
# Magnetic moment (μB per formula unit): 0.96
# Calculated density (kg/m³): 1143


Q: Look up the electronic total energy of the first one.
A: -5.179 eV/atom


Q: The lowest DOS(E_F) belongs to which entry?
A: Rb3Li2TiF9


Q: Number 4 is which compound?
A: K3CaSe